The following is a PBE-GGA calculation of Ge3MoBr after structural relaxation, from Alexandria.

M_tot, μB/cell: 0.00
Density, Mg/m³: 5.41
Uncorrected formation energy, eV/atom: 0.191
Energy relative to the lowest polymorph listed for this composition, eV per formula unit: 0.000

```
Ge3MoBr
1.0
4.946 0.000 0.000
0.000 4.946 0.000
0.000 0.000 4.946
Mo Ge Br
1 3 1
Direct
0.000 0.000 0.000
0.000 0.500 0.000
0.000 0.000 0.500
0.500 0.000 0.000
0.500 0.500 0.500
```

***

The following is a PBE-GGA calculation of Sb2Mo2Os after structural relaxation, from Alexandria.

M_tot, μB/cell: 1.19
Density, Mg/m³: 10.26
Uncorrected formation energy, eV/atom: 1.114
Energy relative to the lowest polymorph listed for this composition, eV per formula unit: 2.285

```
Sb2Mo2Os
1.0
-1.237 -0.117 -3.740
3.496 -1.440 -1.111
-1.076 -6.841 -1.508
Sb Mo Os
2 2 1
Direct
0.750 0.250 0.500
0.250 0.750 0.500
0.410 0.410 0.180
0.590 0.590 0.820
0.000 0.000 0.000
```

***

The following is a PBE-GGA calculation of Cd4MoBr after structural relaxation, from Alexandria.

M_tot, μB/cell: 4.06
Density, Mg/m³: 7.15
Uncorrected formation energy, eV/atom: 0.604

```
Cd4MoBr
1.0
0.000 4.172 4.172
4.172 0.000 4.172
4.172 4.172 0.000
Cd Mo Br
4 1 1
Direct
0.873 0.376 0.376
0.376 0.376 0.873
0.376 0.873 0.376
0.376 0.376 0.376
0.750 0.750 0.750
0.000 0.000 0.000
```

***

The following is a PBE-GGA calculation of Sc3TcO after structural relaxation, from Alexandria.

M_tot, μB/cell: 0.00
Density, Mg/m³: 4.32
Uncorrected formation energy, eV/atom: -0.742
Energy relative to the lowest polymorph listed for this composition, eV per formula unit: 2.901

```
Sc3TcO
1.0
5.938 0.000 0.000
0.000 5.938 0.000
2.969 2.969 5.424
Sc Tc O
6 2 2
Direct
0.148 0.889 0.222
0.111 0.852 0.778
0.111 0.370 0.778
0.630 0.889 0.222
0.367 0.367 0.265
0.633 0.633 0.735
0.642 0.142 0.716
0.858 0.358 0.284
0.000 0.000 0.000
0.250 0.750 0.500
```